{"formula": "Ga3SiOs", "functional": "PBE-GGA", "state": "relaxed", "magnetic_moment_mub_per_atom": 0.352, "raw_formation_energy_ev_per_atom": 1.230, "lattice": [[4.6639, 0.0000, 0.0000], [0.0000, 4.6639, 0.0000], [0.0000, 0.0000, 4.6639]], "species": ["Ga", "Ga", "Ga", "Si", "Os"], "frac_coords": [[0.0000, 0.0000, 0.5000], [0.0000, 0.5000, 0.0000], [0.5000, 0.0000, 0.0000], [0.0000, 0.0000, 0.0000], [0.5000, 0.5000, 0.5000]]}

***

{"formula": "CrCuAg", "functional": "PBE-GGA", "state": "relaxed", "e_tot_ev_per_cell": -15.37, "magnetic_moment_mub_per_atom": 1.264, "lattice": [[-1.5916, 1.5916, 4.5132], [1.5916, -1.5916, 4.5132], [1.5916, 1.5916, -4.5132]], "species": ["Cr", "Cu", "Ag"], "frac_coords": [[0.0000, 0.0000, 0.0000], [0.3520, 0.3520, 0.0000], [0.6821, 0.6821, 0.0000]]}

***

{"formula": "Cd2AuBr", "functional": "PBE-GGA", "state": "relaxed", "magnetic_moment_mub_per_atom": 0.000, "raw_formation_energy_ev_per_atom": -0.253, "lattice": [[1.9973, 1.1531, 7.4870], [-1.9973, 1.1531, 7.4870], [0.0000, -2.3063, 7.4870]], "species": ["Cd", "Cd", "Au", "Br"], "frac_coords": [[0.2392, 0.2392, 0.2392], [0.7608, 0.7608, 0.7608], [0.5000, 0.5000, 0.5000], [0.0000, 0.0000, 0.0000]]}

***

{"formula": "MgAlOsSe2", "functional": "PBE-GGA", "state": "relaxed", "magnetic_moment_mub_per_atom": 0.794, "raw_formation_energy_ev_per_atom": 1.253, "lattice": [[4.7837, 0.0000, 0.0000], [0.0000, 4.7837, 0.0000], [0.0000, 0.0000, 5.4288]], "species": ["Mg", "Al", "Os", "Se", "Se"], "frac_coords": [[0.0000, 0.0000, 0.0000], [0.0000, 0.0000, 0.5000], [0.5000, 0.5000, 0.0000], [0.0000, 0.5000, 0.5000], [0.5000, 0.0000, 0.5000]]}